Entry 1:
Compound: NaAgO2
Source: Alexandria
Functional: GGA-PBE
Structure: relaxed

Properties
For the magnetization, the calculation gives 0.000 μB/cell. Its total energy is -4.09 eV per atom. The raw formation energy is -0.565 eV/atom.

a b c (Å): 5.8661 5.8728 5.9577
angles (deg): 120.53 120.47 86.93
Element x y z (fractional)
1 Na 0.0892 0.9108 0.7499
2 O 0.7258 0.7258 0.7258
3 O 0.2742 0.2741 0.7742
4 Ag 0.4867 0.5133 0.2500
5 Ag 0.5133 0.4867 0.7500
6 O 0.7258 0.7259 0.2258
7 O 0.2742 0.2742 0.2742
8 Na 0.9108 0.0892 0.2501

---

Entry 2:
Compound: ZnIn2Cl
Source: Alexandria
Functional: GGA-PBE
Structure: relaxed

Properties
The value obtained for the density of states at the Fermi level is 1.1 states/eV/cell. For the magnetization, the calculation gives 0.000 μB/cell. Its total energy is -2.33 eV per atom. Its energy above the most stable polymorph in this dataset is 82.7 meV/atom. The raw formation energy is -0.178 eV/atom.

a b c (Å): 3.4882 3.4882 8.0589
angles (deg): 90.00 90.00 90.00
Element x y z (fractional)
1 Zn 0.5000 0.5000 0.2500
2 In 0.0000 0.0000 0.4859
3 In 0.0000 0.0000 0.0141
4 Cl 0.5000 0.5000 0.7500

---

Entry 3:
Compound: InCuNi2N
Source: Alexandria
Functional: GGA-PBE
Structure: relaxed

Properties
The value obtained for the density of states at the Fermi level is 2.4 states/eV/cell. For the magnetization, the calculation gives 0.000 μB/cell. Its total energy is -5.25 eV per atom. The raw formation energy is 0.090 eV/atom.

a b c (Å): 3.9153 3.9153 3.9429
angles (deg): 90.00 90.00 90.00
Element x y z (fractional)
1 In 0.5000 0.5000 0.5000
2 Cu 0.0000 0.0000 0.5000
3 N 0.0000 0.0000 0.0000
4 Ni 0.5000 0.0000 0.0000
5 Ni 0.0000 0.5000 0.0000

---

Entry 4:
Compound: RbTlS2
Source: Alexandria
Functional: GGA-PBE
Structure: relaxed

Properties
The value obtained for the density of states at the Fermi level is 0.0 states/eV/cell. For the magnetization, the calculation gives 0.000 μB/cell. Its total energy is -3.45 eV per atom. Its energy above the most stable polymorph in this dataset is 84.5 meV/atom. The raw formation energy is -0.552 eV/atom.

a b c (Å): 7.0615 9.4041 8.1629
angles (deg): 38.40 107.26 85.82
Element x y z (fractional)
1 S 0.4553 0.6090 0.0230
2 Tl 0.6464 0.7161 0.2740
3 Rb 0.9034 0.9814 0.7236
4 S 0.3645 0.3164 0.5905
5 Tl 0.2616 0.6851 0.5000
6 S 0.6597 0.5794 0.8971
7 Rb 0.2239 0.2263 0.2512
8 S 0.1931 0.2072 0.8181

---

> Number 3 is which compound?

InCuNi2N

---

> Among the records above, which one has the highest raw formation energy?

InCuNi2N